1.
Here is a relaxed InFe2Os crystal from the Alexandria database. Energies are from PBE.

The structure in extended XYZ format:
```
8
Lattice="9.7295 0.0000 0.0000 0.0000 3.0291 0.0000 -1.9760 0.0000 3.9212" Properties=species:S:1:pos:R:3 pbc="T T T"
In 0.0000 0.0000 0.0000
In 4.8648 1.5145 0.0000
Fe 2.0209 1.5145 1.0216
Fe 3.7377 0.0000 1.8899
Fe 6.8857 0.0000 1.0216
Fe 8.6025 1.5145 1.8899
Os 0.7688 0.0000 2.8486
Os 5.6335 1.5145 2.8486
```

E_form = 0.302 eV/atom
Total magnetization = 5.27 μB per formula unit

2.
Here is a relaxed InFe2Os crystal from the Alexandria database. Energies are from PBE.

The structure in extended XYZ format:
```
12
Lattice="2.7864 0.0000 0.0000 -1.3932 2.4131 0.0000 0.0000 0.0000 26.2637" Properties=species:S:1:pos:R:3 pbc="T T T"
In 0.0000 0.0000 0.0000
In 0.0000 1.6087 17.5091
In 1.3932 0.8044 8.7546
Fe 0.0000 0.0000 6.4494
Fe 0.0000 0.0000 19.8143
Fe 0.0000 1.6087 11.0597
Fe 0.0000 1.6087 23.9586
Fe 1.3932 0.8044 2.3051
Fe 1.3932 0.8044 15.2040
Os 0.0000 0.0000 13.1319
Os 0.0000 1.6087 4.3773
Os 1.3932 0.8044 21.8864
```

E_form = 0.398 eV/atom
Total magnetization = 4.72 μB per formula unit

3.
Here is a relaxed InFe2Os crystal from the Alexandria database. Energies are from PBE.

The structure in extended XYZ format:
```
4
Lattice="2.7723 0.0000 0.0000 0.0000 2.7723 0.0000 0.0000 0.0000 7.4831" Properties=species:S:1:pos:R:3 pbc="T T T"
In 0.0000 0.0000 0.0000
Fe 1.3862 1.3862 2.0480
Fe 1.3862 1.3862 5.4352
Os 0.0000 0.0000 3.7416
```

E_form = 0.278 eV/atom
Total magnetization = 3.70 μB per formula unit

4.
Here is a relaxed In4FeOs crystal from the Alexandria database. Energies are from PBE.

The structure in extended XYZ format:
```
6
Lattice="0.0000 3.9785 3.9785 3.9785 0.0000 3.9785 3.9785 3.9785 0.0000" Properties=species:S:1:pos:R:3 pbc="T T T"
In 0.9938 0.9938 0.9938
In 2.9847 2.9847 0.9938
In 2.9847 0.9938 2.9847
In 0.9938 2.9847 2.9847
Fe 3.9785 3.9785 3.9785
Os 5.9678 5.9678 5.9678
```

E_form = 1.120 eV/atom
Total magnetization = 2.74 μB per formula unit

5.
Here is a relaxed InFe2Os crystal from the Alexandria database. Energies are from PBE.

The structure in extended XYZ format:
```
4
Lattice="2.9730 0.0000 0.0000 0.0000 2.9730 0.0000 0.0000 0.0000 6.5687" Properties=species:S:1:pos:R:3 pbc="T T T"
In 0.0000 0.0000 0.0000
Fe 0.0000 0.0000 3.4355
Fe 1.4865 1.4865 4.7381
Os 1.4865 1.4865 2.0179
```

E_form = 0.270 eV/atom
Total magnetization = 4.59 μB per formula unit

6.
Here is a relaxed InFeOs4 crystal from the Alexandria database. Energies are from PBE.

The structure in extended XYZ format:
```
6
Lattice="0.0000 3.6684 3.6684 3.6684 0.0000 3.6684 3.6684 3.6684 0.0000" Properties=species:S:1:pos:R:3 pbc="T T T"
In 0.0000 0.0000 0.0000
Fe 5.5026 5.5026 5.5026
Os 2.7526 2.7526 2.7526
Os 4.5843 4.5843 2.7526
Os 4.5843 2.7526 4.5843
Os 2.7526 4.5843 4.5843
```

E_form = 0.737 eV/atom
Total magnetization = 3.94 μB per formula unit